Entry 1:
{
  "formula": "TaMo2Au",
  "functional": "PBE-GGA",
  "state": "relaxed",
  "m_tot_mub_per_fu": 0.000,
  "ef_ev_per_atom": 0.19,
  "dos_ef_per_ev_fu": 2.93,
  "lattice": [[5.695, 0.000, 0.000], [0.000, 8.637, 0.000], [0.000, 0.000, 2.733]],
  "species": ["Ta", "Ta", "Mo", "Mo", "Mo", "Mo", "Au", "Au"],
  "fractional_positions": [[0.000, 0.000, 0.000], [0.500, 0.500, 0.000], [0.250, 0.250, 0.500], [0.250, 0.750, 0.500], [0.750, 0.250, 0.500], [0.750, 0.750, 0.500], [0.000, 0.500, 0.000], [0.500, 0.000, 0.000]]
}



Entry 2:
{
  "formula": "Ta2MoAu",
  "functional": "PBE-GGA",
  "state": "relaxed",
  "m_tot_mub_per_fu": 0.000,
  "ef_ev_per_atom": 0.02,
  "dos_ef_per_ev_fu": 4.04,
  "lattice": [[3.630, 0.000, 0.000], [0.000, 4.509, 0.000], [0.000, 0.000, 8.494]],
  "species": ["Ta", "Ta", "Ta", "Ta", "Mo", "Mo", "Au", "Au"],
  "fractional_positions": [[0.000, 0.000, 0.238], [0.000, 0.000, 0.762], [0.500, 0.500, 0.262], [0.500, 0.500, 0.738], [0.000, 0.500, 0.500], [0.500, 0.000, 0.000], [0.000, 0.500, 0.000], [0.500, 0.000, 0.500]]
}



Entry 3:
{
  "formula": "Ta2MoAu",
  "functional": "PBE-GGA",
  "state": "relaxed",
  "m_tot_mub_per_fu": 0.000,
  "ef_ev_per_atom": 0.02,
  "dos_ef_per_ev_fu": 2.36,
  "lattice": [[3.406, 0.000, 0.000], [0.000, 4.462, 0.000], [0.000, 0.000, 9.184]],
  "species": ["Ta", "Ta", "Ta", "Ta", "Mo", "Mo", "Au", "Au"],
  "fractional_positions": [[0.000, 0.000, 0.000], [0.000, 0.500, 0.255], [0.500, 0.000, 0.255], [0.500, 0.500, 0.000], [0.000, 0.500, 0.757], [0.500, 0.000, 0.757], [0.000, 0.000, 0.507], [0.500, 0.500, 0.507]]
}



Entry 4:
{
  "formula": "Ta2MoAu",
  "functional": "PBE-GGA",
  "state": "relaxed",
  "m_tot_mub_per_fu": 0.000,
  "ef_ev_per_atom": 0.08,
  "dos_ef_per_ev_fu": 2.44,
  "lattice": [[2.776, 0.000, 0.000], [0.000, 2.776, 0.000], [0.000, 0.000, 9.080]],
  "species": ["Ta", "Ta", "Mo", "Au"],
  "fractional_positions": [[0.000, 0.000, 0.000], [0.500, 0.500, 0.256], [0.500, 0.500, 0.746], [0.000, 0.000, 0.505]]
}



Entry 5:
{
  "formula": "Ta2MoAu",
  "functional": "PBE-GGA",
  "state": "relaxed",
  "m_tot_mub_per_fu": 0.000,
  "ef_ev_per_atom": 0.07,
  "dos_ef_per_ev_fu": 3.18,
  "lattice": [[2.795, 0.000, 0.000], [0.000, 4.772, 0.000], [-0.627, 0.000, 5.245]],
  "species": ["Ta", "Ta", "Mo", "Au"],
  "fractional_positions": [[0.000, 0.000, 0.000], [0.247, 0.500, 0.705], [0.573, 0.000, 0.521], [0.622, 0.500, 0.213]]
}



Entry 6:
{
  "formula": "TaMo2Au",
  "functional": "PBE-GGA",
  "state": "relaxed",
  "m_tot_mub_per_fu": 0.000,
  "ef_ev_per_atom": 0.09,
  "dos_ef_per_ev_fu": 2.86,
  "lattice": [[3.554, 0.000, 0.000], [0.000, 4.438, 0.000], [0.000, 0.000, 8.517]],
  "species": ["Ta", "Ta", "Mo", "Mo", "Mo", "Mo", "Au", "Au"],
  "fractional_positions": [[0.000, 0.000, 0.000], [0.500, 0.500, 0.500], [0.000, 0.000, 0.474], [0.000, 0.500, 0.743], [0.500, 0.000, 0.243], [0.500, 0.500, 0.974], [0.000, 0.500, 0.237], [0.500, 0.000, 0.737]]
}